# 1
A relaxed structure of ErTm3Ru8. Source: Alexandria, functional PBE.

Computed properties:
SG ... R3m
E_form ... -4.11 eV/f.u.
Theoretical density ... 11.7 g cm⁻³

Lattice parameters (Å, degrees): 9.2140 9.2140 9.2140 33.39 33.39 33.39
With the nearest neighbours (Å) after each atom.
Fractional positions:
Er  0.0000  0.0000  0.0000  12 Ru 3.10-3.12, 4 Tm 3.25-3.26
Tm  0.1249  0.1249  0.1249  12 Ru 3.10-3.11, 3 Tm 3.24, 1 Er 3.26
Tm  0.5000  0.5000  0.5000  12 Ru 3.10-3.11, 4 Tm 3.24-3.25
Tm  0.6249  0.6249  0.6249  12 Ru 3.11-3.12, 3 Er 3.25, 1 Tm 3.25
Ru  0.0626  0.0626  0.5618  6 Ru 2.64-2.66
Ru  0.0626  0.5618  0.0626  6 Ru 2.64-2.66
Ru  0.0627  0.5626  0.5626  6 Ru 2.65-2.66
Ru  0.3126  0.3126  0.3126  6 Ru 2.66
Ru  0.5618  0.0626  0.0626  6 Ru 2.64-2.66
Ru  0.5626  0.0627  0.5626  6 Ru 2.65-2.66
Ru  0.5626  0.5626  0.0627  6 Ru 2.65-2.66
Ru  0.8126  0.8126  0.8126  6 Ru 2.65-2.66

# 2
A relaxed structure of ErTm2Ru3. Source: Alexandria, functional PBE.

Computed properties:
SG ... Cmmm
E_form ... -2.44 eV/f.u.
Theoretical density ... 11.8 g cm⁻³

Lattice parameters (Å, degrees): 7.5050 7.5050 3.3700 90.00 90.00 143.15
With the nearest neighbours (Å) after each atom.
Fractional positions:
Er  0.0000  0.0000  0.0000  8 Ru 2.91-2.92
Tm  0.3331  0.6669  0.0000  8 Ru 2.90-2.91
Tm  0.6669  0.3331  0.0000  8 Ru 2.90-2.91
Ru  0.1672  0.8328  0.5000  6 Tm 2.90-2.91, 2 Er 2.92
Ru  0.5000  0.5000  0.5000  4 Er 2.91, 4 Tm 2.91
Ru  0.8328  0.1672  0.5000  6 Tm 2.90-2.91, 2 Er 2.92